Here is a geometry-optimized TcAu2 structure from the Alexandria database. Energies are from GGA-PBEsol.

```
6
Lattice="5.3039 -1.3778 0.0000 5.3039 1.3778 0.0000 -1.8591 0.0000 6.5768" Properties=species:S:1:pos:R:3 pbc="T T T"
Tc 0.0000 0.0000 0.0000
Tc 6.2637 0.0000 1.8702
Au 2.8336 0.0000 0.2570
Au 2.1074 0.0000 4.2113
Au 4.9428 0.0000 4.6795
Au 9.2124 0.0000 2.4573
```

## Properties
Calculated volume, Å³ per cell: 96
Total magnetization, μB per cell: 0.00
Excess energy over the best structure of this formula in the dataset, eV/f.u.: 0.000
N(E_F), states/eV per cell: 3.98
DFT formation energy, eV/atom: 0.30

Here is a geometry-optimized InCu2W structure from the Alexandria database. Energies are from GGA-PBEsol.

```
4
Lattice="2.8021 -3.9146 0.0000 2.8021 3.9146 0.0000 -0.0079 0.0000 2.6865" Properties=species:S:1:pos:R:3 pbc="T T T"
In 0.0000 0.0000 0.0000
Cu 1.3971 1.9573 1.3432
Cu 1.3971 -1.9573 1.3432
W 2.8021 0.0000 0.0000
```

## Properties
Calculated volume, Å³ per cell: 59
Total magnetization, μB per cell: 0.00
N(E_F), states/eV per cell: 2.67
DFT formation energy, eV/atom: 0.43

Here is a geometry-optimized CrOs2Ru structure from the Alexandria database. Energies are from GGA-PBEsol.

```
4
Lattice="0.0000 3.0004 3.0004 3.0004 0.0000 3.0004 3.0004 3.0004 0.0000" Properties=species:S:1:pos:R:3 pbc="T T T"
Cr 0.0000 0.0000 0.0000
Os 1.5002 1.5002 1.5002
Os 3.0004 3.0004 3.0004
Ru 4.5006 4.5006 4.5006
```

## Properties
Calculated volume, Å³ per cell: 54
Total magnetization, μB per cell: 0.01
Excess energy over the best structure of this formula in the dataset, eV/f.u.: 0.252
N(E_F), states/eV per cell: 6.94
DFT formation energy, eV/atom: 0.56

Here is a geometry-optimized TaNi4W structure from the Alexandria database. Energies are from GGA-PBEsol.

```
6
Lattice="0.0000 3.3148 3.3148 3.3148 0.0000 3.3148 3.3148 3.3148 0.0000" Properties=species:S:1:pos:R:3 pbc="T T T"
Ta 0.0000 0.0000 0.0000
Ni 2.4893 2.4893 2.4893
Ni 4.1402 4.1402 2.4893
Ni 4.1402 2.4893 4.1402
Ni 2.4893 4.1402 4.1402
W 4.9721 4.9721 4.9721
```

## Properties
Calculated volume, Å³ per cell: 73
Total magnetization, μB per cell: 0.00
N(E_F), states/eV per cell: 9.91
DFT formation energy, eV/atom: -0.14

Here is a geometry-optimized Y3HgAu structure from the Alexandria database. Energies are from GGA-PBEsol.

```
5
Lattice="5.4828 0.0000 0.0000 0.0000 5.4828 0.0000 0.0000 0.0000 5.4828" Properties=species:S:1:pos:R:3 pbc="T T T"
Y 0.0000 0.0000 2.7414
Y 0.0000 2.7414 0.0000
Y 2.7414 0.0000 0.0000
Hg 0.0000 0.0000 0.0000
Au 2.7414 2.7414 2.7414
```

## Properties
Calculated volume, Å³ per cell: 165
Total magnetization, μB per cell: 0.00
N(E_F), states/eV per cell: 7.08
DFT formation energy, eV/atom: 0.30

Here is a geometry-optimized Li2AlB5O10 structure from the Alexandria database. Energies are from GGA-PBEsol.

```
72
Lattice="7.0658 0.0000 0.0000 0.0000 14.9493 0.0000 -0.1230 0.0000 7.0689" Properties=species:S:1:pos:R:3 pbc="T T T"
Li 0.6453 2.5686 3.5296
Li 0.5838 4.9060 7.0641
Li 2.0689 8.5353 4.1582
Li 2.1304 13.8887 0.6238
Li 4.8124 1.0606 6.4452
Li 4.8739 6.4140 2.9107
Li 6.3590 10.0433 0.0048
Li 6.2975 12.3807 3.5393
Al 1.0370 1.8560 0.2701
Al 0.9755 5.6186 3.8046
Al 5.9673 9.3306 3.2644
Al 5.9058 13.0933 6.7989
B 1.3619 0.4266 2.8518
B 1.3004 7.0481 6.3862
B 1.4391 10.7710 3.6778
B 1.5006 11.6529 0.1433
B 1.6091 14.9442 5.2139
B 1.6706 7.4798 1.6795
B 2.2640 9.2690 0.0581
B 2.2025 13.1550 3.5926
B 3.1417 3.6807 3.5278
B 3.0802 3.7940 7.0623
B 3.8626 11.1553 0.0067
B 3.8011 11.2686 3.5411
B 4.7403 1.7943 3.4764
B 4.6789 5.6803 7.0108
B 5.3338 0.0051 1.8550
B 5.2723 7.4695 5.3895
B 5.4422 3.2964 6.9256
B 5.5037 4.1783 3.3911
B 5.6424 7.9012 0.6827
B 5.5809 14.5227 4.2172
O 0.5205 9.7757 3.7618
O 0.5820 12.6483 0.2273
O 1.0094 1.3758 1.9503
O 0.9479 6.0988 5.4848
O 1.0719 0.7729 4.1838
O 1.1333 6.7017 0.6494
O 1.0755 10.3336 7.0223
O 1.1370 12.0903 3.4878
O 1.5765 0.4589 6.5009
O 1.6380 7.0157 2.9665
O 1.9138 3.3646 0.0932
O 1.8523 4.1101 3.6277
O 1.8817 8.2433 6.0787
O 1.9432 14.1806 2.5442
O 2.2207 8.6806 1.3936
O 2.1592 13.7434 4.9281
O 2.7724 10.3590 3.8201
O 2.8339 12.0650 0.2856
O 3.4316 2.3707 3.7058
O 3.4931 5.1039 0.1713
O 3.4497 9.8454 6.8976
O 3.5112 12.5786 3.3631
O 4.1089 2.8843 6.7833
O 4.1704 4.5903 3.2488
O 4.7836 1.2059 2.1409
O 4.7221 6.2687 5.6754
O 4.9997 0.7686 4.5247
O 5.0611 6.7060 0.9902
O 5.0905 10.8392 3.4413
O 5.0290 11.5847 6.9758
O 5.3048 7.9336 4.1025
O 5.3663 14.4904 0.5680
O 5.8059 2.8589 3.5811
O 5.8673 4.6157 0.0467
O 5.8095 8.2476 6.4196
O 5.8710 14.1764 2.8851
O 5.9949 8.8505 1.5841
O 5.9334 13.5735 5.1186
O 6.3609 2.3010 6.8416
O 6.4223 5.1736 3.3071
```

## Properties
Calculated volume, Å³ per cell: 747
Total magnetization, μB per cell: 0.00
N(E_F), states/eV per cell: 0.00
Total DFT energy (no corrections), eV per atom: -7.84

Here is a geometry-optimized Y2AsPb structure from the Alexandria database. Energies are from GGA-PBEsol.

```
4
Lattice="1.9876 1.1476 7.7318 -1.9876 1.1476 7.7318 0.0000 -2.2951 7.7318" Properties=species:S:1:pos:R:3 pbc="T T T"
Y 0.0000 0.0000 5.5006
Y 0.0000 0.0000 17.6947
As 0.0000 0.0000 11.5976
Pb 0.0000 0.0000 0.0000
```

## Properties
Calculated volume, Å³ per cell: 106
Total magnetization, μB per cell: 0.00
Excess energy over the best structure of this formula in the dataset, eV/f.u.: 0.000
N(E_F), states/eV per cell: 1.45
DFT formation energy, eV/atom: -1.06

Here is a geometry-optimized BeNiIr structure from the Alexandria database. Energies are from GGA-PBEsol.

```
3
Lattice="-1.3441 1.3441 4.4137 1.3441 -1.3441 4.4137 1.3441 1.3441 -4.4137" Properties=species:S:1:pos:R:3 pbc="T T T"
Be 0.0000 0.0000 0.0000
Ni 0.0000 0.0000 3.1613
Ir 0.0000 0.0000 5.8196
```

## Properties
Calculated volume, Å³ per cell: 32
Total magnetization, μB per cell: 0.00
N(E_F), states/eV per cell: 3.64
DFT formation energy, eV/atom: -0.27

Here is a geometry-optimized Li2Mn3TeO8 structure from the Alexandria database. Energies are from GGA-PBEsol.

```
14
Lattice="5.2205 -2.8688 0.0000 5.2205 2.8688 0.0000 -3.1678 0.0000 5.2227" Properties=species:S:1:pos:R:3 pbc="T T T"
Li 0.2032 0.0000 1.8318
Li 7.0700 0.0000 3.3909
Mn 2.6103 1.4344 0.0000
Mn 2.6103 -1.4344 0.0000
Mn 5.2205 0.0000 0.0000
Te 3.6366 0.0000 2.6113
O 2.0092 0.0000 1.1797
O 4.4848 1.3180 1.1782
O 2.7885 1.3180 4.0444
O 0.3409 0.0000 4.2918
O 6.9323 0.0000 0.9309
O 4.4848 -1.3180 1.1782
O 2.7885 -1.3180 4.0444
O 5.2641 0.0000 4.0430
```

## Properties
Calculated volume, Å³ per cell: 156
Total magnetization, μB per cell: 10.73
Excess energy over the best structure of this formula in the dataset, eV/f.u.: 0.455
N(E_F), states/eV per cell: 4.17

Here is a geometry-optimized KSe3 structure from the Alexandria database. Energies are from GGA-PBEsol.

```
4
Lattice="5.7693 -2.2193 0.0000 5.7693 2.2193 0.0000 -0.5620 0.0000 4.8115" Properties=species:S:1:pos:R:3 pbc="T T T"
K 0.0000 0.0000 0.0000
Se 2.9334 0.0000 1.9235
Se 5.4883 0.0000 2.4057
Se 8.0431 0.0000 2.8880
```

## Properties
Calculated volume, Å³ per cell: 123
Total magnetization, μB per cell: 0.00
Excess energy over the best structure of this formula in the dataset, eV/f.u.: 0.000
N(E_F), states/eV per cell: 1.52

Here is a geometry-optimized MgAs2Cl structure from the Alexandria database. Energies are from GGA-PBEsol.

```
8
Lattice="-1.9177 1.9177 11.3574 1.9177 -1.9177 11.3574 1.9177 1.9177 -11.3574" Properties=species:S:1:pos:R:3 pbc="T T T"
Mg 0.0000 0.0000 0.0000
Mg 0.0000 1.9177 5.6787
As 2.8765 0.7590 -2.8394
As 0.7590 0.9588 2.8394
As -0.9588 1.1587 8.5181
As 1.1587 0.9588 14.1968
Cl 1.9177 0.0000 5.6787
Cl 0.0000 0.0000 11.3574
```

## Properties
Calculated volume, Å³ per cell: 167
Total magnetization, μB per cell: 0.00
N(E_F), states/eV per cell: 2.33
Total DFT energy (no corrections), eV per atom: -3.90

Here is a geometry-optimized Tl3GeOs structure from the Alexandria database. Energies are from GGA-PBEsol.

```
5
Lattice="5.2008 0.0000 0.0000 0.0000 5.2008 0.0000 0.0000 0.0000 5.2008" Properties=species:S:1:pos:R:3 pbc="T T T"
Tl 0.0000 0.0000 2.6004
Tl 0.0000 2.6004 0.0000
Tl 2.6004 0.0000 0.0000
Ge 0.0000 0.0000 0.0000
Os 2.6004 2.6004 2.6004
```

## Properties
Calculated volume, Å³ per cell: 141
Total magnetization, μB per cell: 2.25
N(E_F), states/eV per cell: 6.04
DFT formation energy, eV/atom: 1.61

Here is a geometry-optimized BaPbO3 structure from the Alexandria database. Energies are from GGA-PBEsol.

```
5
Lattice="4.2916 0.0000 0.0000 0.0000 4.2916 0.0000 0.0000 0.0000 4.2916" Properties=species:S:1:pos:R:3 pbc="T T T"
Ba 0.0000 0.0000 0.0000
Pb 2.1458 2.1458 2.1458
O 0.0000 2.1458 2.1458
O 2.1458 0.0000 2.1458
O 2.1458 2.1458 0.0000
```

## Properties
Calculated volume, Å³ per cell: 79
Total magnetization, μB per cell: 0.00
N(E_F), states/eV per cell: 2.20
Total DFT energy (no corrections), eV per atom: -6.08

Here is a geometry-optimized MgHgRu3 structure from the Alexandria database. Energies are from GGA-PBEsol.

```
5
Lattice="4.4373 0.0000 0.0000 0.0000 4.4373 0.0000 0.0000 0.0000 4.4373" Properties=species:S:1:pos:R:3 pbc="T T T"
Mg 0.0000 0.0000 0.0000
Hg 2.2187 2.2187 2.2187
Ru 0.0000 0.0000 2.2187
Ru 0.0000 2.2187 0.0000
Ru 2.2187 0.0000 0.0000
```

## Properties
Calculated volume, Å³ per cell: 87
Total magnetization, μB per cell: 2.27
N(E_F), states/eV per cell: 4.58
DFT formation energy, eV/atom: 1.83

Here is a geometry-optimized SbWSe2N structure from the Alexandria database. Energies are from GGA-PBEsol.

```
5
Lattice="5.2292 0.0000 0.0000 0.0000 5.2292 0.0000 0.0000 0.0000 3.7902" Properties=species:S:1:pos:R:3 pbc="T T T"
Sb 0.0000 0.0000 0.0000
W 2.6146 2.6146 1.8951
Se 0.0000 2.6146 0.0000
Se 2.6146 0.0000 0.0000
N 0.0000 0.0000 1.8951
```

## Properties
Calculated volume, Å³ per cell: 104
Total magnetization, μB per cell: 3.46
N(E_F), states/eV per cell: 2.11
Total DFT energy (no corrections), eV per atom: -5.35

Here is a geometry-optimized Th7Ir3 structure from the Alexandria database. Energies are from GGA-PBEsol.

```
20
Lattice="9.9464 0.0000 0.0000 -4.9732 8.6139 0.0000 0.0000 0.0000 6.2074" Properties=species:S:1:pos:R:3 pbc="T T T"
Th -1.8593 4.6691 0.0000
Th 0.0000 2.2042 4.4213
Th -3.0644 7.5118 4.4213
Th 1.9089 1.1021 1.3176
Th 0.0000 5.7426 3.2244
Th 1.8593 4.6691 0.0000
Th 0.0000 7.8896 0.0000
Th 4.9732 0.7243 3.1037
Th 3.1139 3.9448 3.1037
Th 4.9732 2.8713 0.1208
Th 3.0644 7.5118 4.4213
Th 8.0376 1.1021 1.3176
Th 4.9732 6.4097 1.3176
Th 6.8326 3.9448 3.1037
Ir 0.0000 3.2304 1.6384
Ir -2.1756 6.9987 1.6384
Ir 2.7976 1.6152 4.7421
Ir 2.1756 6.9987 1.6384
Ir 7.1488 1.6152 4.7421
Ir 4.9732 5.3835 4.7421
```

## Properties
Calculated volume, Å³ per cell: 532
Total magnetization, μB per cell: 0.00
N(E_F), states/eV per cell: 21.23
DFT formation energy, eV/atom: -0.62

Here is a geometry-optimized SrPb2Au structure from the Alexandria database. Energies are from GGA-PBEsol.

```
4
Lattice="4.6225 0.0000 0.0000 0.0000 4.0931 0.0000 -2.2727 0.0000 6.1440" Properties=species:S:1:pos:R:3 pbc="T T T"
Sr 0.0000 0.0000 0.0000
Pb 0.0181 2.0465 3.8389
Pb 2.3240 0.0000 2.7395
Au 2.3111 2.0465 0.6520
```

## Properties
Calculated volume, Å³ per cell: 116
Total magnetization, μB per cell: 0.00
N(E_F), states/eV per cell: 1.73
DFT formation energy, eV/atom: -0.36

Here is a geometry-optimized Sr2ErReO6 structure from the Alexandria database. Energies are from GGA-PBEsol.

```
10
Lattice="0.0000 4.0956 4.0956 4.0956 0.0000 4.0956 4.0956 4.0956 0.0000" Properties=species:S:1:pos:R:3 pbc="T T T"
Sr 2.0478 2.0478 2.0478
Sr 6.1434 6.1434 6.1434
Er 0.0000 0.0000 0.0000
Re 4.0956 4.0956 4.0956
O 4.0956 4.0956 2.1537
O 4.0956 2.1537 4.0956
O 6.0375 4.0956 4.0956
O 2.1537 4.0956 4.0956
O 4.0956 6.0375 4.0956
O 4.0956 4.0956 6.0375
```

## Properties
Calculated volume, Å³ per cell: 137
Total magnetization, μB per cell: 1.03
N(E_F), states/eV per cell: 4.51
Total DFT energy (no corrections), eV per atom: -8.00

Here is a geometry-optimized La2MnIn structure from the Alexandria database. Energies are from GGA-PBEsol.

```
4
Lattice="-1.8171 2.6075 5.4998 1.8171 -2.6075 5.4998 1.8171 2.6075 -5.4998" Properties=species:S:1:pos:R:3 pbc="T T T"
La 0.0000 0.0000 0.0000
La 0.0000 2.6075 2.2333
Mn 1.8171 0.0000 2.6370
In 0.0000 0.0000 4.6777
```

## Properties
Calculated volume, Å³ per cell: 104
Total magnetization, μB per cell: 3.28
N(E_F), states/eV per cell: 4.03
DFT formation energy, eV/atom: -0.01

Here is a geometry-optimized ErCo5P3 structure from the Alexandria database. Energies are from GGA-PBEsol.

```
36
Lattice="11.5478 0.0000 0.0000 0.0000 3.5804 0.0000 0.0000 0.0000 10.1298" Properties=species:S:1:pos:R:3 pbc="T T T"
Er 2.3446 0.8951 0.8443
Er 3.4293 2.6853 5.9092
Er 8.1185 0.8951 4.2206
Er 9.2031 2.6853 9.2855
Co 0.0960 2.6853 7.2601
Co 0.1460 2.6853 0.9394
Co 0.7941 2.6853 4.7454
Co 2.0399 0.8951 7.9045
Co 2.2903 0.8951 3.8836
Co 3.4836 2.6853 8.9485
Co 3.7339 2.6853 2.8396
Co 4.9798 0.8951 9.8103
Co 5.6279 0.8951 6.0044
Co 5.6779 0.8951 2.1952
Co 5.8699 2.6853 7.9346
Co 5.9199 2.6853 4.1255
Co 6.5680 2.6853 0.3195
Co 7.8138 0.8951 7.2902
Co 8.0642 0.8951 1.1813
Co 9.2574 2.6853 6.2462
Co 9.5078 2.6853 2.2253
Co 10.7536 0.8951 5.3845
Co 11.4017 0.8951 9.1904
Co 11.4517 0.8951 2.8697
P 1.2616 2.6853 9.1054
P 1.2925 0.8951 5.9077
P 1.4920 2.6853 2.7384
P 4.2819 0.8951 7.8033
P 4.4813 2.6853 0.8428
P 4.5122 0.8951 4.0405
P 7.0355 2.6853 6.0893
P 7.0664 0.8951 9.2870
P 7.2659 2.6853 2.3265
P 10.0558 0.8951 7.3914
P 10.2552 2.6853 4.2221
P 10.2861 0.8951 1.0244
```

## Properties
Calculated volume, Å³ per cell: 419
Total magnetization, μB per cell: 3.23
N(E_F), states/eV per cell: 24.48
DFT formation energy, eV/atom: -0.95

Here is a geometry-optimized Ta8Hg structure from the Alexandria database. Energies are from GGA-PBEsol.

```
9
Lattice="-4.8531 4.8531 1.7063 4.8531 -4.8531 1.7063 4.8531 4.8531 -1.7063" Properties=species:S:1:pos:R:3 pbc="T T T"
Ta 3.2346 0.0000 0.0000
Ta 6.4716 0.0000 0.0000
Ta 3.1997 3.1997 0.0000
Ta 1.6535 -1.6535 1.7063
Ta 0.0000 3.2346 0.0000
Ta 0.0000 6.4716 0.0000
Ta -1.6535 1.6535 1.7063
Ta 1.6535 1.6535 1.7063
Hg 0.0000 0.0000 0.0000
```

## Properties
Calculated volume, Å³ per cell: 161
Total magnetization, μB per cell: 0.00
N(E_F), states/eV per cell: 7.40
DFT formation energy, eV/atom: 0.04